# 1
# Be2Br2N

An optimized crystal structure of Be2Br2N (GGA-PBE, Alexandria).

Output
- Space-group type: P4/mbm, No. 127
- ρ: 3.42 g/cm³

Cell lengths 7.369, 7.369, 3.431 Å; angles 90.00, 90.00, 90.00 degrees
Element x y z (fractional)
Be  0.099  0.401  0.000
Be  0.401  0.901  0.000
Be  0.599  0.099  0.000
Be  0.901  0.599  0.000
Br  0.232  0.268  0.500
Br  0.268  0.768  0.500
Br  0.732  0.232  0.500
Br  0.768  0.732  0.500
N  0.000  0.000  0.500
N  0.500  0.500  0.500



# 2
# BeBr2N

An optimized crystal structure of BeBr2N (GGA-PBE, Alexandria).

Output
- Space-group type: R-3m, No. 166
- ρ: 2.84 g/cm³

Cell lengths 10.189, 10.189, 10.189 Å; angles 19.88, 19.88, 19.88 degrees
Element x y z (fractional)
Be  0.000  0.000  0.000
Br  0.379  0.379  0.379
Br  0.621  0.621  0.621
N  0.500  0.500  0.500



# 3
# BeBr2N

An optimized crystal structure of BeBr2N (GGA-PBE, Alexandria).

Output
- Space-group type: I-42d, No. 122
- ρ: 3.00 g/cm³

Cell lengths 6.551, 6.551, 6.551 Å; angles 118.81, 118.81, 92.07 degrees
Element x y z (fractional)
Be  0.000  0.000  0.000
Be  0.750  0.250  0.500
Br  0.014  0.625  0.889
Br  0.375  0.264  0.389
Br  0.736  0.125  0.111
Br  0.875  0.986  0.611
N  0.250  0.750  0.500
N  0.500  0.500  0.000



# 4
# BeBrN2

An optimized crystal structure of BeBrN2 (GGA-PBE, Alexandria).

Output
- Space-group type: Fm-3m, No. 225
- ρ: 4.77 g/cm³

Cell lengths 3.861, 3.861, 3.861 Å; angles 60.00, 60.00, 60.00 degrees
Element x y z (fractional)
Be  0.000  0.000  0.000
Br  0.500  0.500  0.500
N  0.250  0.250  0.250
N  0.750  0.750  0.750



# 5
# BeBr2N

An optimized crystal structure of BeBr2N (GGA-PBE, Alexandria).

Output
- Space-group type: Fm-3m, No. 225
- ρ: 4.17 g/cm³

Cell lengths 4.688, 4.688, 4.688 Å; angles 60.00, 60.00, 60.00 degrees
Element x y z (fractional)
Be  0.000  0.000  0.000
Br  0.250  0.250  0.250
Br  0.750  0.750  0.750
N  0.500  0.500  0.500



# 6
# BeBrN2

An optimized crystal structure of BeBrN2 (GGA-PBE, Alexandria).

Output
- Space-group type: I-42d, No. 122
- ρ: 4.18 g/cm³

Cell lengths 5.347, 5.347, 5.347 Å; angles 127.74, 127.74, 77.05 degrees
Element x y z (fractional)
Be  0.000  0.000  0.000
Be  0.750  0.250  0.500
Br  0.250  0.750  0.500
Br  0.500  0.500  0.000
N  0.014  0.625  0.889
N  0.375  0.264  0.389
N  0.736  0.125  0.111
N  0.875  0.986  0.611



| no. | raw total energy (eV per atom) | energy above the most stable polymorph in this dataset (eV per formula unit) | E_form (uncorrected) (eV/f.u.) |
| --- | --- | --- | --- |
| 1 | -2.752 | 0.000 | 5.36 |
| 2 | -3.101 | 0.536 | 2.99 |
| 3 | -3.235 | 0.000 | 2.46 |
| 4 | -3.158 | 5.213 | 9.42 |
| 5 | -2.394 | 3.365 | 5.82 |
| 6 | -4.404 | 0.228 | 4.43 |